{
  "formula": "NaHo2ErTl4",
  "functional": "PBE-GGA",
  "state": "optimized geometry",
  "cell": [[5.3096, 0.0000, 0.0000], [2.6548, 4.5982, 0.0000], [2.6548, 1.5327, 8.7723]],
  "species": ["Tl", "Tl", "Ho", "Tl", "Tl", "Na", "Ho", "Er"],
  "fractional_positions": [[0.3754, 0.3754, 0.8739], [0.8751, 0.8751, 0.3747], [0.2467, 0.2467, 0.2600], [0.1249, 0.1249, 0.6253], [0.6246, 0.6246, 0.1261], [0.5000, 0.5000, 0.5000], [0.7533, 0.7533, 0.7400], [0.0000, 0.0000, 0.0000]],
  "mass_density_g_cm3": 10.37,
  "e_tot_ha_per_atom": -0.123,
  "total_magnetization_mub_per_fu": 0.0
}